# ZnSbPd2, relaxed, DFT PBE
# crystal system	tetragonal
# uncorrected formation energy	-142	kJ/mol of formula units
data_ZnSbPd2
_chemical_formula_sum 'Zn1 Sb1 Pd2'
_space_group_name_H-M_alt 'P 4/m m m'
_space_group_IT_number 123
_space_group_name_Hall '-P 4 2'
_cell_length_a 4.485
_cell_length_b 4.485
_cell_length_c 3.379
_cell_angle_alpha 90.00
_cell_angle_beta 90.00
_cell_angle_gamma 90.00
loop_
_atom_site_label
_atom_site_fract_x
_atom_site_fract_y
_atom_site_fract_z
_atom_site_occupancy
Zn1 0.000 0.000 0.000 1
Sb1 0.500 0.500 0.000 1
Pd1 0.000 0.500 0.500 1

---

# Tm4OsRu, relaxed, DFT PBE
# crystal system	monoclinic
data_Tm4OsRu
_chemical_formula_sum 'Tm8 Os2 Ru2'
_space_group_name_H-M_alt 'P 1 21/m 1'
_space_group_IT_number 11
_cell_length_a 5.778
_cell_length_b 6.373
_cell_length_c 8.087
_cell_angle_alpha 90.00
_cell_angle_beta 110.48
_cell_angle_gamma 90.00
loop_
_space_group_symop_operation_xyz
'x,y,z'
'-x,-y,-z'
'-x,y+1/2,-z'
'x,-y+1/2,z'
loop_
_atom_site_label
_atom_site_fract_x
_atom_site_fract_y
_atom_site_fract_z
_atom_site_occupancy
Tm1 0.000 0.000 0.249 1
Tm2 0.430 0.250 0.107 1
Tm3 0.432 0.250 0.608 1
Os1 0.211 0.750 0.053 1
Ru1 0.207 0.750 0.551 1

---

# RbPbF2, relaxed, DFT PBE
# crystal system	cubic
# uncorrected formation energy	-619	kJ/mol of formula units
data_RbPbF2
_chemical_formula_sum 'Rb4 Pb4 F8'
_space_group_name_H-M_alt 'F m -3 m'
_space_group_IT_number 225
_space_group_name_Hall '-F 4 2 3'
_cell_length_a 6.963
_cell_length_b 6.963
_cell_length_c 6.963
_cell_angle_alpha 90.00
_cell_angle_beta 90.00
_cell_angle_gamma 90.00
loop_
_atom_site_label
_atom_site_fract_x
_atom_site_fract_y
_atom_site_fract_z
_atom_site_occupancy
Rb1 0.000 0.000 0.000 1
Pb1 0.000 0.000 0.500 1
F1 0.250 0.250 0.250 1

---

# SmDy3YEr, relaxed, DFT PBE
# crystal system	monoclinic
data_SmDy3YEr
_chemical_formula_sum 'Sm4 Dy12 Y4 Er4'
_space_group_name_H-M_alt 'C 1 2/m 1'
_space_group_IT_number 12
_cell_length_a 18.554
_cell_length_b 5.738
_cell_length_c 7.299
_cell_angle_alpha 90.00
_cell_angle_beta 90.39
_cell_angle_gamma 90.00
loop_
_space_group_symop_operation_xyz
'x,y,z'
'-x,-y,-z'
'-x,y,-z'
'x,-y,z'
'x+1/2,y+1/2,z'
'-x+1/2,-y+1/2,-z'
'-x+1/2,y+1/2,-z'
'x+1/2,-y+1/2,z'
loop_
_atom_site_label
_atom_site_fract_x
_atom_site_fract_y
_atom_site_fract_z
_atom_site_occupancy
Sm1 0.040 0.000 0.252 1
Dy1 0.023 0.500 0.744 1
Dy2 0.171 0.000 0.745 1
Dy3 0.215 0.000 0.250 1
Y1 0.148 0.500 0.036 1
Er1 0.149 0.500 0.459 1

---

Going through the records in order, we get VASP energy values of -17.3 -80.3 -59.3 -113.4 eV/cell.